Zn2OsPd | GGA-PBE | optimized geometry

The structure in POSCAR format:
```
Zn2OsPd
1.0
-0.566 2.587 -0.609
-0.899 1.685 1.933
8.473 3.864 2.481
Zn Os Pd
2 1 1
Direct
0.091 0.091 0.726 Zn
0.909 0.909 0.274 Zn
0.000 0.000 0.000 Os
0.500 0.500 0.500 Pd
```

Calculated values
* calculated formation energy: 0.17 eV per atom
* energy: -4.573 eV per atom
* ρ: 11.673 Mg/m³
* symmetry: R-3m

---

Cs3Zr5Se12 | GGA-PBE | optimized geometry

The structure in POSCAR format:
```
Cs3Zr5Se12
1.0
-14.383 4.576 2.463
1.116 -15.005 2.739
9.436 7.601 9.331
Cs Zr Se
12 20 48
Direct
0.750 0.375 0.125 Cs
0.875 0.750 0.125 Cs
0.375 0.750 0.625 Cs
0.250 0.125 0.375 Cs
0.875 0.125 0.250 Cs
0.375 0.625 0.250 Cs
0.625 0.375 0.750 Cs
0.125 0.875 0.750 Cs
0.750 0.875 0.625 Cs
0.625 0.250 0.375 Cs
0.125 0.250 0.875 Cs
0.250 0.625 0.875 Cs
0.125 0.375 0.250 Zr
0.000 0.500 0.000 Zr
0.000 0.000 0.000 Zr
0.375 0.250 0.125 Zr
0.500 0.000 0.500 Zr
0.500 0.500 0.000 Zr
0.125 0.750 0.375 Zr
0.750 0.125 0.875 Zr
0.750 0.625 0.375 Zr
0.375 0.125 0.750 Zr
0.625 0.875 0.250 Zr
0.500 0.500 0.500 Zr
0.500 0.000 0.000 Zr
0.000 0.000 0.500 Zr
0.250 0.375 0.625 Zr
0.250 0.875 0.125 Zr
0.000 0.500 0.500 Zr
0.875 0.250 0.625 Zr
0.625 0.750 0.875 Zr
0.875 0.625 0.750 Zr
0.686 0.102 0.004 Se
0.318 0.504 0.402 Se
0.996 0.398 0.314 Se
0.504 0.186 0.102 Se
0.584 0.686 0.682 Se
0.996 0.598 0.182 Se
0.318 0.814 0.416 Se
0.098 0.916 0.102 Se
0.598 0.996 0.682 Se
0.686 0.584 0.182 Se
0.814 0.496 0.398 Se
0.818 0.902 0.004 Se
0.102 0.686 0.504 Se
0.398 0.402 0.084 Se
0.084 0.902 0.398 Se
0.416 0.102 0.598 Se
0.084 0.182 0.186 Se
0.496 0.682 0.098 Se
0.818 0.916 0.314 Se
0.102 0.416 0.098 Se
0.398 0.996 0.814 Se
0.598 0.602 0.416 Se
0.902 0.818 0.504 Se
0.814 0.318 0.916 Se
0.402 0.398 0.584 Se
0.098 0.182 0.496 Se
0.186 0.682 0.084 Se
0.182 0.084 0.686 Se
0.602 0.004 0.186 Se
0.898 0.584 0.902 Se
0.504 0.318 0.902 Se
0.584 0.898 0.402 Se
0.916 0.818 0.814 Se
0.916 0.098 0.602 Se
0.898 0.314 0.496 Se
0.182 0.098 0.996 Se
0.602 0.598 0.916 Se
0.402 0.004 0.318 Se
0.314 0.416 0.818 Se
0.186 0.504 0.602 Se
0.902 0.084 0.898 Se
0.682 0.186 0.584 Se
0.496 0.814 0.898 Se
0.004 0.402 0.818 Se
0.416 0.314 0.318 Se
0.004 0.602 0.686 Se
0.682 0.496 0.598 Se
0.314 0.898 0.996 Se
```

Calculated values
* energy: -5.482 eV per atom
* energy relative to the elements, uncorrected: -1126 meV per atom
* ρ: 4.348 Mg/m³
* symmetry: Ia-3d

---

MgTeSe2 | GGA-PBE | optimized geometry

The structure in POSCAR format:
```
MgTeSe2
1.0
-9.404 1.058 -0.777
-8.277 0.797 4.584
9.141 1.797 -1.834
Mg Se Te
1 2 1
Direct
0.750 0.250 0.500 Mg
0.000 0.000 0.000 Se
0.250 0.750 0.500 Se
0.500 0.500 0.000 Te
```

Calculated values
* energy relative to the lowest polymorph listed for this composition: 174 meV per atom
* energy: -3.235 eV per atom
* energy relative to the elements, uncorrected: -309 meV per atom
* ρ: 3.763 Mg/m³
* symmetry: I-4m2

---

NdCuHg | GGA-PBE | optimized geometry

The structure in POSCAR format:
```
NdCuHg
1.0
3.576 0.000 0.000
0.000 4.709 0.000
0.000 -2.354 4.078
Nd Hg Cu
1 1 1
Direct
0.667 0.667 0.333 Nd
0.167 0.000 0.000 Hg
0.167 0.333 0.667 Cu
```

Calculated values
* calculated formation energy: -0.31 eV per atom
* energy: -3.363 eV per atom
* ρ: 9.876 Mg/m³
* symmetry: P-6m2